(1)
The following is a PBE-GGA calculation of an optimized crystal structure of SrTaH, from the Alexandria database.

Its distance to the lowest polymorph of the same formula is 518 meV/atom. Its calculated density is 8.1 g/cm3. The space-group type is P4/nmm (129). Its total energy is -30.85 eV/cell. The total magnetic moment is 0.0 μB per formula unit.

Cell lengths 4.365, 4.365, 5.808 Å; angles 90.00, 90.00, 90.00 degrees
Positions (direct):
1 Sr 0.250 0.750 0.000
2 Sr 0.750 0.250 0.000
3 Ta 0.250 0.250 0.479
4 Ta 0.750 0.750 0.521
5 H 0.250 0.250 0.157
6 H 0.750 0.750 0.843

=====

(2)
The following is a PBE-GGA calculation of an optimized crystal structure of SrTaH, from the Alexandria database.

Its distance to the lowest polymorph of the same formula is 2277 meV/atom. Its calculated density is 4.5 g/cm3. The space-group type is F-43m (216). Its total energy is -10.15 eV/cell. The total magnetic moment is 4.1 μB per formula unit.

Cell lengths 5.200, 5.200, 5.200 Å; angles 60.00, 60.00, 60.00 degrees
Positions (direct):
1 Sr 0.000 0.000 0.000
2 Ta 0.250 0.250 0.250
3 H 0.750 0.750 0.750

=====

(3)
The following is a PBE-GGA calculation of an optimized crystal structure of SrTaH, from the Alexandria database.

Its distance to the lowest polymorph of the same formula is 285 meV/atom. Its calculated density is 6.3 g/cm3. The space-group type is P1 (1). Its total energy is -32.25 eV/cell. The total magnetic moment is 0.0 μB per formula unit.

Cell lengths 3.525, 4.905, 8.815 Å; angles 93.50, 91.68, 110.17 degrees
Positions (direct):
1 Sr 0.000 0.000 0.000
2 Sr 0.257 0.444 0.611
3 Ta 0.505 0.979 0.344
4 Ta 0.792 0.538 0.282
5 H 0.592 0.168 0.158
6 H 0.954 0.857 0.444